# CoTcIr2 | the Alexandria database | meta-GGA SCAN | single point on PBEsol structure
# D(E_F) (states/eV/cell): 3.44
# Magnetization (μB per formula unit): 2.0
# Formation energy (eV per atom): -0.121
# Energy above the most stable polymorph in this dataset (meV per atom): 7
# Crystal system: orthorhombic
data_CoTcIr2
_cell_length_a 2.689
_cell_length_b 4.207
_cell_length_c 4.636
_cell_angle_alpha 90.00
_cell_angle_beta 90.00
_cell_angle_gamma 90.00
_space_group_name_H-M_alt 'P 1'
_space_group_IT_number 1
_space_group_name_Hall 'P 1'
loop_
_atom_site_label
_atom_site_fract_x
_atom_site_fract_y
_atom_site_fract_z
Co1 0.000 0.000 0.000
Tc1 0.000 0.500 0.324
Ir1 0.500 0.000 0.498
Ir2 0.500 0.500 0.846

***

# Co2P2O7 | the Alexandria database | meta-GGA SCAN | single point on PBEsol structure
# D(E_F) (states/eV/cell): 0.00
# Magnetization (μB per formula unit): 6.0
# Uncorrected formation energy (eV/f.u.): -22.64
# Energy above the most stable polymorph in this dataset (meV per atom): 0
# Crystal system: monoclinic
data_Co2P2O7
_cell_length_a 4.472
_cell_length_b 9.706
_cell_length_c 5.395
_cell_angle_alpha 90.00
_cell_angle_beta 97.42
_cell_angle_gamma 90.00
_space_group_name_H-M_alt 'P 1'
_space_group_IT_number 1
_space_group_name_Hall 'P 1'
loop_
_atom_site_label
_atom_site_fract_x
_atom_site_fract_y
_atom_site_fract_z
Co1 0.123 0.160 0.411
Co2 0.123 0.340 0.911
Co3 0.877 0.660 0.089
Co4 0.877 0.840 0.589
P1 0.349 0.612 0.655
P2 0.349 0.888 0.155
P3 0.651 0.112 0.845
P4 0.651 0.388 0.345
O1 0.112 0.684 0.468
O2 0.112 0.816 0.968
O3 0.207 0.537 0.861
O4 0.207 0.963 0.361
O5 0.391 0.207 0.738
O6 0.391 0.293 0.238
O7 0.500 0.000 0.000
O8 0.500 0.500 0.500
O9 0.609 0.707 0.762
O10 0.609 0.793 0.262
O11 0.793 0.037 0.639
O12 0.793 0.463 0.139
O13 0.888 0.184 0.032
O14 0.888 0.316 0.532